No. 1
A relaxed HoAg4 crystal. Source: Alexandria via LeMat-Bulk, functional GGA-PBE.

Its space group is Pm-3m (221). The calculation puts the formation enthalpy at 0 K at 1.00 eV/atom. As for the density of states at the Fermi level: 2.9 states/eV/cell.

Cell: 5.4206 5.4206 5.4206 Å, 90.00 90.00 90.00°
Last column: nearest neighbours and their distance in Å.
Sites, in units of the cell vectors:
Ho: 0.5000 0.5000 0.5000  6 Ag 2.71
Ag: 0.0000 0.0000 0.0000  12 Ag 3.83
Ag: 0.5000 0.0000 0.5000  2 Ho 2.71
Ag: 0.0000 0.5000 0.5000  2 Ho 2.71
Ag: 0.5000 0.5000 0.0000  2 Ho 2.71

=====

No. 2
A relaxed Tl3CuAu2Cl9 crystal. Source: Alexandria via LeMat-Bulk, functional GGA-PBE.

Its space group is P-3m1 (164). The uncorrected formation energy comes out at -8.93 eV per formula unit. As for the density of states at the Fermi level: 4.8 states/eV/cell.

Cell: 7.1236 7.1236 8.7563 Å, 90.00 90.00 120.00°
Last column: nearest neighbours and their distance in Å.
Sites, in units of the cell vectors:
Tl: 0.3333 0.6667 0.6518  12 Cl 3.46-3.68
Tl: 0.0000 0.0000 0.0000  12 Cl 3.56-3.58
Tl: 0.6667 0.3333 0.3482  12 Cl 3.46-3.68
Cu: 0.0000 0.0000 0.5000  6 Cl 2.44
Au: 0.3333 0.6667 0.1717  6 Cl 2.55-2.58
Au: 0.6667 0.3333 0.8283  6 Cl 2.55-2.58
Cl: 0.8384 0.1616 0.6605  1 Cu 2.44, 1 Au 2.58
Cl: 0.8384 0.6768 0.6605  1 Cu 2.44, 1 Au 2.58
Cl: 0.3232 0.1616 0.6605  1 Cu 2.44, 1 Au 2.58
Cl: 0.6768 0.8384 0.3395  1 Cu 2.44, 1 Au 2.58
Cl: 0.1616 0.3232 0.3395  1 Cu 2.44, 1 Au 2.58
Cl: 0.1616 0.8384 0.3395  1 Cu 2.44, 1 Au 2.58
Cl: 0.5000 0.0000 0.0000  2 Au 2.55
Cl: 0.0000 0.5000 0.0000  2 Au 2.55
Cl: 0.5000 0.5000 0.0000  2 Au 2.55

=====

No. 3
A relaxed MoRuAu2 crystal. Source: Alexandria via LeMat-Bulk, functional GGA-PBE.

Its space group is Cm (8). Its polymorph energy (0 for the lowest one) is 157 meV per atom. The calculation puts the formation enthalpy at 0 K at 0.28 eV/atom. As for the density of states at the Fermi level: 3.1 states/eV/cell.

Cell: 4.8776 4.8776 4.8970 Å, 77.52 77.52 35.51°
Last column: nearest neighbours and their distance in Å.
Sites, in units of the cell vectors:
Au: 0.9946 0.9946 0.9945  5 Au 2.74-2.97, 4 Mo 2.78-2.96, 3 Ru 2.90-2.93
Au: 0.7551 0.7551 0.7547  5 Au 2.74-2.97, 4 Ru 2.77-2.97, 3 Mo 2.91
Mo: 0.5135 0.5135 0.4649  2 Ru 2.54, 2 Au 2.78
Ru: 0.2369 0.2369 0.2859  2 Mo 2.54, 2 Au 2.77

=====

No. 4
A relaxed NaAlSn crystal. Source: Alexandria via LeMat-Bulk, functional GGA-PBE.

Its space group is I4/mmm (139). The calculation puts the formation enthalpy at 0 K at -0.03 eV/atom. As for the density of states at the Fermi level: 1.7 states/eV/cell.

Cell: 4.1061 4.1061 9.3009 Å, 77.25 77.25 90.00°
Last column: nearest neighbours and their distance in Å.
Sites, in units of the cell vectors:
Na: 0.8089 0.8089 0.3822  5 Sn 3.19-3.41, 4 Na 3.57
Na: 0.1911 0.1911 0.6178  5 Sn 3.19-3.41, 4 Na 3.57
Sn: 0.3839 0.3839 0.2322  4 Al 2.90, 4 Na 3.19
Sn: 0.6161 0.6161 0.7678  4 Al 2.90, 4 Na 3.19
Al: 0.0000 0.5000 0.0000  4 Sn 2.90, 4 Al 2.90
Al: 0.5000 0.0000 0.0000  4 Sn 2.90, 4 Al 2.90